[1]
UCoSnPd: optimized geometry, GGA-PBE.

Unit cell a=4.7126 b=4.7126 c=4.7126 alpha=60.00 beta=60.00 gamma=60.00
Last column: magnetic moment on the atom in μB.
Atoms (fractional coordinates):
Co  0.5000  0.5000  0.5000  -1.06
U  0.7500  0.7500  0.7500  2.06
Pd  0.0000  0.0000  0.0000  -0.10
Sn  0.2500  0.2500  0.2500  -0.03

Results
total DFT energy (no corrections): -7.099 eV per atom
spin magnetization: 1.03 μB/cell

=====

[2]
SmHo3Bi4: optimized geometry, GGA-PBE.

Unit cell a=4.4869 b=7.7698 c=7.7698 alpha=109.45 beta=90.00 gamma=90.00
Atoms (fractional coordinates):
Bi  0.0000  0.2544  0.2544
Bi  0.5000  0.7478  0.2522
Bi  0.0000  0.7456  0.7456
Bi  0.5000  0.2522  0.7478
Ho  0.0000  0.0000  0.5000
Ho  0.5000  0.5000  0.5000
Ho  0.0000  0.5000  0.0000
Sm  0.5000  0.0000  0.0000

Results
total DFT energy (no corrections): -5.103 eV per atom
spin magnetization: 0.00 μB/cell
distance to the lowest polymorph of the same formula: 3 meV per atom